A geometry-optimized NpPaRuPt structure. Source: the Alexandria database, functional GGA-PBE.

CIF file:
```
data_NpPaRuPt
_chemical_formula_sum 'Np4 Pa4 Ru4 Pt4'
_cell_length_a 6.9034
_cell_length_b 6.9034
_cell_length_c 6.9034
_cell_angle_alpha 90.00
_cell_angle_beta 90.00
_cell_angle_gamma 90.00
_space_group_name_H-M_alt 'F -4 3 m'
_space_group_IT_number 216
_space_group_name_Hall 'F -4 2 3'
loop_
_atom_site_label
_atom_site_type_symbol
_atom_site_fract_x
_atom_site_fract_y
_atom_site_fract_z
Np1 Np 0.0000 0.0000 0.0000
Pa1 Pa 0.0000 0.0000 0.5000
Ru1 Ru 0.2500 0.2500 0.2500
Pt1 Pt 0.2500 0.2500 0.7500
```

Formation enthalpy at 0 K in eV/atom: -0.35
Calculated density in g cm⁻³: 15.43
DFT total energy in eV/atom: -9.7870
Total moment in μB/f.u.: 4.67